Record 1
Below is a relaxed Er5Lu3 crystal, with properties calculated at the PBE-GGA level.

Lattice parameters (Å, degrees): 7.092 7.092 5.499 90.00 90.00 120.00
Fractional coordinates of all 8 atoms:
Er1 0.500 0.500 0.000
Lu1 0.833 0.666 0.500
Er2 0.333 0.667 0.500
Er3 0.000 0.000 0.000
Er4 0.500 0.000 0.000
Er5 0.000 0.500 0.000
Lu2 0.334 0.167 0.500
Lu3 0.833 0.167 0.500

## Properties
V: 29.94 Å³/atom
ΔE_f: 0 meV/atom

***

Record 2
Below is a relaxed ErLu2Mg crystal, with properties calculated at the PBE-GGA level.

Lattice parameters (Å, degrees): 6.887 6.887 5.478 90.00 90.00 120.14
Fractional coordinates of all 8 atoms:
Lu1 0.331 0.164 0.750
Lu2 0.164 0.331 0.250
Er1 0.670 0.330 0.250
Mg1 0.166 0.834 0.250
Er2 0.330 0.670 0.750
Lu3 0.836 0.669 0.750
Mg2 0.834 0.166 0.750
Lu4 0.669 0.836 0.250

## Properties
V: 28.09 Å³/atom
Energy above the lowest structure with this stoichiometry: 0 meV per atom

***

Record 3
Below is a relaxed ErLu2Mg crystal, with properties calculated at the PBE-GGA level.

Lattice parameters (Å, degrees): 5.485 6.879 6.879 119.38 90.00 90.00
Fractional coordinates of all 8 atoms:
Er1 0.750 0.336 0.664
Lu1 0.250 0.164 0.833
Mg1 0.250 0.161 0.337
Lu2 0.750 0.835 0.670
Lu3 0.750 0.833 0.164
Mg2 0.750 0.337 0.161
Er2 0.250 0.664 0.336
Lu4 0.250 0.670 0.835

## Properties
V: 28.27 Å³/atom
Energy above the lowest structure with this stoichiometry: 15 meV per atom

***

Record 4
Below is a relaxed Er6LuMg crystal, with properties calculated at the PBE-GGA level.

Lattice parameters (Å, degrees): 7.020 7.020 5.537 90.00 90.00 120.00
Fractional coordinates of all 8 atoms:
Er1 0.497 0.503 0.500
Mg1 0.000 0.000 0.500
Er2 0.834 0.668 0.000
Er3 0.834 0.166 0.000
Lu1 0.333 0.667 0.000
Er4 0.006 0.503 0.500
Er5 0.497 0.994 0.500
Er6 0.332 0.166 0.000

## Properties
V: 29.54 Å³/atom
Final energy: -4.162 eV per atom

***

Record 5
Below is a relaxed ErLu2Mg crystal, with properties calculated at the PBE-GGA level.

Lattice parameters (Å, degrees): 5.485 6.895 6.895 60.50 90.00 90.00
Fractional coordinates of all 8 atoms:
Mg1 0.000 0.835 0.329
Lu1 0.500 0.167 0.167
Lu2 0.000 0.837 0.837
Lu3 0.500 0.165 0.666
Er1 0.000 0.337 0.337
Mg2 0.000 0.329 0.835
Er2 0.500 0.665 0.665
Lu4 0.500 0.666 0.165

## Properties
V: 28.37 Å³/atom
Energy above the lowest structure with this stoichiometry: 35 meV per atom

***

Record 6
Below is a relaxed Er2Lu5Mg crystal, with properties calculated at the PBE-GGA level.

Lattice parameters (Å, degrees): 5.502 6.974 6.974 59.98 90.00 90.00
Fractional coordinates of all 8 atoms:
Mg1 0.000 0.165 0.165
Lu1 0.500 0.833 0.333
Lu2 0.000 0.162 0.670
Er1 0.000 0.669 0.669
Lu3 0.500 0.834 0.834
Er2 0.500 0.333 0.333
Lu4 0.500 0.333 0.833
Lu5 0.000 0.670 0.162

## Properties
V: 28.96 Å³/atom
Final energy: -4.136 eV per atom